Record 1
The following is a DFT calculation (PBE-GGA) of TiCr2Mo2 after structural relaxation.

Computed properties:
Energy relative to the elements, eV per atom: -0.037
Total magnetic moment, μB per formula unit: 0.00
Calculated total energy, eV per atom: -9.797

Cell lengths 3.046, 4.355, 10.797 Å; angles 90.00, 97.90, 90.00 degrees
Space group P2_1/m (No. 11)
Unique sites:
1 Ti 0.146 0.250 0.291 (multiplicity 2)
2 Cr 0.352 0.250 0.704 (multiplicity 2)
3 Cr 0.453 0.750 0.905 (multiplicity 2)
4 Mo 0.049 0.750 0.099 (multiplicity 2)
5 Mo 0.247 0.750 0.492 (multiplicity 2)

Record 2
The following is a DFT calculation (PBE-GGA) of Ti2CrMo after structural relaxation.

Computed properties:
Energy relative to the elements, eV per atom: 0.504
Total magnetic moment, μB per formula unit: 0.00
Calculated total energy, eV per atom: -8.557

Cell lengths 6.841, 6.841, 5.327 Å; angles 90.00, 90.00, 90.00 degrees
Space group I-42d (No. 122)
Unique sites:
1 Ti 0.234 0.250 0.125 (multiplicity 8)
2 Cr 0.000 0.000 0.000 (multiplicity 4)
3 Mo 0.000 0.000 0.500 (multiplicity 4)